# KSr2Mn (PBEsol, relaxed)
# Density   2.80 Mg/m³
# Energy relative to the elements   260 kJ/mol of formula units
data_KSr2Mn
_chemical_formula_sum 'K1 Sr2 Mn1'
_cell_length_a 5.9264
_cell_length_b 5.9264
_cell_length_c 4.5433
_cell_angle_alpha 90.00
_cell_angle_beta 90.00
_cell_angle_gamma 90.00
_symmetry_space_group_name_H-M 'P 4/m m m'
_symmetry_Int_Tables_number 123
_symmetry_space_group_name_Hall '-P 4 2'
loop_
_atom_site_label
_atom_site_fract_x
_atom_site_fract_y
_atom_site_fract_z
K1 0.0000 0.0000 0.0000
Sr1 0.0000 0.5000 0.5000
Mn1 0.5000 0.5000 0.0000